Below is a relaxed structure of InSe2O, with properties calculated at the PBE level.

Lattice parameters (Å, degrees): 7.156 7.156 7.156 34.14 34.14 34.14
Positions (direct):
In: 0.000 0.000 0.000
Se: 0.406 0.406 0.406
Se: 0.594 0.594 0.594
O: 0.500 0.500 0.500

For the formation energy (no corrections), the calculation gives -0.092 eV/atom. The calculation puts the total energy at -15.03 eV per cell. For the polymorph energy (0 for the lowest one), the calculation gives 0.0 meV per atom.